1.
{"formula": "ZrTaAlC", "functional": "GGA-PBE", "state": "optimized geometry", "cell": [[3.212, 0.000, 0.000], [-1.606, 2.782, 0.000], [0.000, 0.000, 14.221]], "species": ["Al", "Al", "C", "C", "Ta", "Ta", "Zr", "Zr"], "frac_coords": [[0.333, 0.667, 0.240], [0.667, 0.333, 0.760], [0.000, 0.000, 0.000], [0.000, 0.000, 0.500], [0.667, 0.333, 0.085], [0.333, 0.667, 0.915], [0.667, 0.333, 0.408], [0.333, 0.667, 0.592]], "total_magnetization_mub_per_fu": 0.00, "e_tot_ev_per_cell": -71.3, "density_g_cm3": 8.13, "crystal_system": "trigonal"}

---

2.
{"formula": "Zr2Ta4Al3C3", "functional": "GGA-PBE", "state": "optimized geometry", "cell": [[4.760, -2.743, 0.000], [4.760, 2.743, 0.000], [-3.253, 0.000, 14.032]], "species": ["Al", "Al", "Al", "Al", "Al", "Al", "C", "C", "C", "C", "C", "C", "Ta", "Ta", "Ta", "Ta", "Ta", "Ta", "Ta", "Ta", "Zr", "Zr", "Zr", "Zr"], "frac_coords": [[0.415, 0.130, 0.249], [0.961, 0.039, 0.250], [0.870, 0.585, 0.251], [0.130, 0.415, 0.749], [0.039, 0.961, 0.750], [0.585, 0.870, 0.751], [0.667, 0.165, 0.000], [0.000, 0.500, 0.000], [0.333, 0.835, 0.000], [0.165, 0.667, 0.500], [0.500, 0.000, 0.500], [0.835, 0.333, 0.500], [0.021, 0.202, 0.083], [0.695, 0.855, 0.083], [0.145, 0.305, 0.417], [0.798, 0.979, 0.417], [0.202, 0.021, 0.583], [0.855, 0.695, 0.583], [0.305, 0.145, 0.917], [0.979, 0.798, 0.917], [0.374, 0.537, 0.105], [0.463, 0.626, 0.395], [0.537, 0.374, 0.605], [0.626, 0.463, 0.895]], "total_magnetization_mub_per_fu": 0.00, "e_tot_ev_per_cell": -221.6, "density_g_cm3": 9.27, "crystal_system": "monoclinic"}

---

3.
{"formula": "Zr4Ta2Al3C3", "functional": "GGA-PBE", "state": "optimized geometry", "cell": [[-2.175, 4.226, -3.024], [-4.708, -0.812, -2.985], [-5.465, 2.849, 13.192]], "species": ["Al", "Al", "Al", "Al", "Al", "Al", "C", "C", "C", "C", "C", "C", "Ta", "Ta", "Ta", "Ta", "Zr", "Zr", "Zr", "Zr", "Zr", "Zr", "Zr", "Zr"], "frac_coords": [[0.712, 0.581, 0.249], [0.125, 0.875, 0.250], [0.419, 0.288, 0.251], [0.581, 0.712, 0.749], [0.875, 0.125, 0.750], [0.288, 0.419, 0.751], [0.000, 0.500, 0.000], [0.338, 0.823, 0.000], [0.177, 0.662, 0.500], [0.500, 0.000, 0.500], [0.823, 0.338, 0.500], [0.662, 0.177, 0.000], [0.356, 0.527, 0.081], [0.473, 0.644, 0.419], [0.527, 0.356, 0.581], [0.644, 0.473, 0.919], [0.036, 0.194, 0.093], [0.698, 0.869, 0.094], [0.131, 0.302, 0.406], [0.806, 0.964, 0.407], [0.194, 0.036, 0.593], [0.869, 0.698, 0.594], [0.302, 0.131, 0.906], [0.964, 0.806, 0.907]], "total_magnetization_mub_per_fu": 0.00, "e_tot_ev_per_cell": -209.1, "density_g_cm3": 7.18, "crystal_system": "monoclinic"}

---

4.
{"formula": "ZrTaAlC", "functional": "GGA-PBE", "state": "optimized geometry", "cell": [[3.195, 0.000, 0.000], [-1.598, 2.767, 0.000], [0.000, 0.000, 14.284]], "species": ["Al", "Al", "C", "C", "Ta", "Ta", "Zr", "Zr"], "frac_coords": [[0.333, 0.667, 0.000], [0.667, 0.333, 0.500], [0.000, 0.000, 0.262], [0.000, 0.000, 0.738], [0.333, 0.667, 0.346], [0.333, 0.667, 0.654], [0.667, 0.333, 0.167], [0.667, 0.333, 0.833]], "total_magnetization_mub_per_fu": 0.01, "e_tot_ev_per_cell": -71.5, "density_g_cm3": 8.18, "crystal_system": "hexagonal"}

---

5.
{"formula": "ZrTaAlC", "functional": "GGA-PBE", "state": "optimized geometry", "cell": [[-1.861, -1.916, 1.750], [2.812, 0.983, 1.152], [-6.359, 11.439, 5.761]], "species": ["Al", "Al", "C", "C", "Ta", "Ta", "Zr", "Zr"], "frac_coords": [[0.333, 0.667, 0.256], [0.667, 0.333, 0.756], [0.000, 0.000, 0.494], [0.000, 0.000, 0.994], [0.667, 0.333, 0.411], [0.333, 0.667, 0.911], [0.667, 0.333, 0.090], [0.333, 0.667, 0.590]], "total_magnetization_mub_per_fu": 0.00, "e_tot_ev_per_cell": -71.6, "density_g_cm3": 8.18, "crystal_system": "hexagonal"}

---

6.
{"formula": "Zr3TaAl2C2", "functional": "GGA-PBE", "state": "optimized geometry", "cell": [[3.261, 0.000, 0.000], [-1.630, 2.824, 0.000], [0.000, 0.000, 14.424]], "species": ["Al", "Al", "C", "C", "Ta", "Zr", "Zr", "Zr"], "frac_coords": [[0.000, 0.000, 0.248], [0.333, 0.667, 0.757], [0.667, 0.333, 0.503], [0.667, 0.333, 0.991], [0.000, 0.000, 0.911], [0.333, 0.667, 0.084], [0.333, 0.667, 0.413], [0.000, 0.000, 0.593]], "total_magnetization_mub_per_fu": 0.01, "e_tot_ev_per_cell": -68.3, "density_g_cm3": 6.66, "crystal_system": "trigonal"}

---

7.
{"formula": "ThAl3C", "functional": "GGA-PBE", "state": "optimized geometry", "cell": [[-2.003, -3.793, 1.233], [3.204, -2.352, -2.030], [2.375, -0.026, 3.778]], "species": ["Al", "Al", "Al", "C", "Th"], "frac_coords": [[0.500, 0.500, 0.000], [0.500, 0.000, 0.500], [0.000, 0.500, 0.500], [0.500, 0.500, 0.500], [0.000, 0.000, 0.000]], "total_magnetization_mub_per_fu": 0.00, "e_tot_ev_per_cell": -25.9, "density_g_cm3": 6.07, "crystal_system": "cubic"}

---

8.
{"formula": "Tm4AlTlC2", "functional": "GGA-PBE", "state": "optimized geometry", "cell": [[-1.351, -3.262, -0.116], [0.991, 1.608, -2.985], [14.589, -6.100, 1.558]], "species": ["Al", "C", "C", "Tl", "Tm", "Tm", "Tm", "Tm"], "frac_coords": [[0.000, 0.000, 0.500], [0.667, 0.333, 0.253], [0.667, 0.333, 0.747], [0.333, 0.667, 0.000], [0.000, 0.000, 0.171], [0.333, 0.667, 0.339], [0.333, 0.667, 0.661], [0.000, 0.000, 0.829]], "total_magnetization_mub_per_fu": 0.24, "e_tot_ev_per_cell": -45.3, "density_g_cm3": 9.00, "crystal_system": "hexagonal"}

---

9.
{"formula": "AlTlW4C2", "functional": "GGA-PBE", "state": "optimized geometry", "cell": [[-0.694, 2.998, 0.299], [-2.254, -2.117, 0.010], [1.112, -1.120, 13.795]], "species": ["Al", "C", "C", "Tl", "W", "W", "W", "W"], "frac_coords": [[0.000, 0.000, 0.000], [0.667, 0.333, 0.239], [0.667, 0.333, 0.761], [0.333, 0.667, 0.500], [0.333, 0.667, 0.154], [0.000, 0.000, 0.323], [0.000, 0.000, 0.677], [0.333, 0.667, 0.846]], "total_magnetization_mub_per_fu": 0.01, "e_tot_ev_per_cell": -74.4, "density_g_cm3": 14.31, "crystal_system": "hexagonal"}

---

10.
{"formula": "Zr4AlTlC2", "functional": "GGA-PBE", "state": "optimized geometry", "cell": [[3.359, 0.000, 0.000], [-1.680, 2.909, 0.000], [0.000, 0.000, 14.860]], "species": ["Al", "C", "C", "Tl", "Zr", "Zr", "Zr", "Zr"], "frac_coords": [[0.333, 0.667, 0.500], [0.667, 0.333, 0.255], [0.667, 0.333, 0.745], [0.000, 0.000, 0.000], [0.333, 0.667, 0.172], [0.000, 0.000, 0.341], [0.000, 0.000, 0.659], [0.333, 0.667, 0.828]], "total_magnetization_mub_per_fu": 0.01, "e_tot_ev_per_cell": -63.8, "density_g_cm3": 7.09, "crystal_system": "hexagonal"}

---

11.
{"formula": "Al6WC", "functional": "GGA-PBE", "state": "optimized geometry", "cell": [[3.442, 2.723, 3.532], [-1.963, 1.936, 4.913], [1.588, -2.438, 4.825]], "species": ["Al", "Al", "Al", "Al", "Al", "Al", "C", "W"], "frac_coords": [[0.745, 0.255, 0.255], [0.255, 0.745, 0.255], [0.745, 0.745, 0.255], [0.255, 0.255, 0.745], [0.745, 0.255, 0.745], [0.255, 0.745, 0.745], [0.000, 0.000, 0.000], [0.250, 0.250, 0.250]], "total_magnetization_mub_per_fu": 0.01, "e_tot_ev_per_cell": -42.8, "density_g_cm3": 4.70, "crystal_system": "cubic"}

---

12.
{"formula": "AlZnW4C2", "functional": "GGA-PBE", "state": "optimized geometry", "cell": [[2.999, 0.000, 0.000], [-1.500, 2.598, 0.000], [0.000, 0.000, 13.712]], "species": ["Al", "C", "C", "W", "W", "W", "W", "Zn"], "frac_coords": [[0.000, 0.000, 0.500], [0.667, 0.333, 0.250], [0.667, 0.333, 0.750], [0.000, 0.000, 0.160], [0.333, 0.667, 0.341], [0.333, 0.667, 0.659], [0.000, 0.000, 0.840], [0.333, 0.667, 0.000]], "total_magnetization_mub_per_fu": 0.00, "e_tot_ev_per_cell": -74.6, "density_g_cm3": 13.24, "crystal_system": "hexagonal"}

---

13.
{"formula": "Zr2Al3W4C3", "functional": "GGA-PBE", "state": "optimized geometry", "cell": [[-1.818, 0.800, 5.026], [-0.113, -4.107, 3.510], [13.266, 4.274, 1.083]], "species": ["Al", "Al", "Al", "Al", "Al", "Al", "C", "C", "C", "C", "C", "C", "W", "W", "W", "W", "W", "W", "W", "W", "Zr", "Zr", "Zr", "Zr"], "frac_coords": [[0.102, 0.414, 0.250], [0.071, 0.929, 0.250], [0.586, 0.898, 0.250], [0.414, 0.102, 0.750], [0.929, 0.071, 0.750], [0.898, 0.586, 0.750], [0.500, 0.000, 0.000], [0.829, 0.336, 0.000], [0.171, 0.664, 0.000], [0.336, 0.829, 0.500], [0.000, 0.500, 0.500], [0.664, 0.171, 0.500], [0.854, 0.692, 0.080], [0.200, 0.019, 0.080], [0.981, 0.800, 0.420], [0.308, 0.146, 0.420], [0.692, 0.854, 0.580], [0.019, 0.200, 0.580], [0.800, 0.981, 0.920], [0.146, 0.308, 0.920], [0.540, 0.374, 0.114], [0.626, 0.460, 0.386], [0.374, 0.540, 0.614], [0.460, 0.626, 0.886]], "total_magnetization_mub_per_fu": 0.00, "e_tot_ev_per_cell": -224.3, "density_g_cm3": 9.99, "crystal_system": "monoclinic"}

---

14.
{"formula": "Y2Zr4Al3C3", "functional": "GGA-PBE", "state": "optimized geometry", "cell": [[-1.614, 5.596, -0.666], [-5.595, 1.548, 0.814], [5.233, 0.051, 14.213]], "species": ["Al", "Al", "Al", "Al", "Al", "Al", "C", "C", "C", "C", "C", "C", "Y", "Y", "Y", "Y", "Zr", "Zr", "Zr", "Zr", "Zr", "Zr", "Zr", "Zr"], "frac_coords": [[0.100, 0.414, 0.250], [0.072, 0.928, 0.250], [0.586, 0.900, 0.250], [0.414, 0.100, 0.750], [0.928, 0.072, 0.750], [0.900, 0.586, 0.750], [0.500, 0.000, 0.000], [0.844, 0.328, 0.000], [0.672, 0.156, 0.500], [0.000, 0.500, 0.500], [0.328, 0.844, 0.500], [0.156, 0.672, 0.000], [0.538, 0.373, 0.109], [0.627, 0.462, 0.391], [0.373, 0.538, 0.609], [0.462, 0.627, 0.891], [0.855, 0.693, 0.082], [0.201, 0.020, 0.082], [0.980, 0.799, 0.418], [0.307, 0.145, 0.418], [0.693, 0.855, 0.582], [0.020, 0.201, 0.582], [0.799, 0.980, 0.918], [0.145, 0.307, 0.918]], "total_magnetization_mub_per_fu": 0.00, "e_tot_ev_per_cell": -186.8, "density_g_cm3": 4.99, "crystal_system": "monoclinic"}

---

15.
{"formula": "Y4Zr2Al3C3", "functional": "GGA-PBE", "state": "optimized geometry", "cell": [[6.092, 0.000, 0.000], [3.046, 5.277, 0.000], [3.046, 1.642, 15.026]], "species": ["Al", "Al", "Al", "Al", "Al", "Al", "C", "C", "C", "C", "C", "C", "Y", "Y", "Y", "Y", "Y", "Y", "Y", "Y", "Zr", "Zr", "Zr", "Zr"], "frac_coords": [[0.416, 0.009, 0.250], [0.157, 0.750, 0.250], [0.674, 0.491, 0.250], [0.326, 0.509, 0.750], [0.843, 0.250, 0.750], [0.584, 0.991, 0.750], [0.189, 0.155, 0.000], [0.500, 0.500, 0.000], [0.811, 0.845, 0.000], [0.345, 0.345, 0.500], [0.000, 0.000, 0.500], [0.655, 0.655, 0.500], [0.806, 0.135, 0.097], [0.127, 0.474, 0.097], [0.698, 0.026, 0.403], [0.038, 0.365, 0.403], [0.962, 0.635, 0.597], [0.302, 0.974, 0.597], [0.873, 0.526, 0.903], [0.194, 0.865, 0.903], [0.474, 0.802, 0.076], [0.352, 0.698, 0.424], [0.648, 0.302, 0.576], [0.526, 0.198, 0.924]], "total_magnetization_mub_per_fu": 0.02, "e_tot_ev_per_cell": -174.0, "density_g_cm3": 4.50, "crystal_system": "monoclinic"}

---

16.
{"formula": "Al3ZnC", "functional": "GGA-PBE", "state": "optimized geometry", "cell": [[4.082, 0.000, 0.000], [0.000, 4.082, 0.000], [0.000, 0.000, 4.082]], "species": ["Al", "Al", "Al", "C", "Zn"], "frac_coords": [[0.500, 0.500, 0.000], [0.500, 0.000, 0.500], [0.000, 0.500, 0.500], [0.500, 0.500, 0.500], [0.000, 0.000, 0.000]], "e_tot_ev_per_cell": -20.1, "density_g_cm3": 3.87, "crystal_system": "cubic"}

---

17.
{"formula": "ZrAl3C", "functional": "GGA-PBE", "state": "optimized geometry", "cell": [[4.232, 0.000, 0.000], [0.000, 4.232, 0.000], [0.000, 0.000, 4.232]], "species": ["Al", "Al", "Al", "C", "Zr"], "frac_coords": [[0.500, 0.500, 0.000], [0.500, 0.000, 0.500], [0.000, 0.500, 0.500], [0.500, 0.500, 0.500], [0.000, 0.000, 0.000]], "total_magnetization_mub_per_fu": 0.10, "e_tot_ev_per_cell": -27.3, "density_g_cm3": 4.03, "crystal_system": "cubic"}

---

18.
{"formula": "Zr3Al3C5", "functional": "GGA-PBE", "state": "optimized geometry", "cell": [[-2.197, 1.609, -1.968], [1.292, -2.942, -0.980], [-20.882, -13.307, 12.429]], "species": ["Al", "Al", "Al", "Al", "Al", "Al", "C", "C", "C", "C", "C", "C", "C", "C", "C", "C", "Zr", "Zr", "Zr", "Zr", "Zr", "Zr"], "frac_coords": [[0.333, 0.667, 0.177], [0.000, 0.000, 0.249], [0.333, 0.667, 0.323], [0.667, 0.333, 0.677], [0.000, 0.000, 0.749], [0.667, 0.333, 0.823], [0.333, 0.667, 0.050], [0.000, 0.000, 0.152], [0.333, 0.667, 0.250], [0.000, 0.000, 0.348], [0.333, 0.667, 0.450], [0.667, 0.333, 0.550], [0.000, 0.000, 0.652], [0.667, 0.333, 0.750], [0.000, 0.000, 0.848], [0.667, 0.333, 0.950], [0.667, 0.333, 0.095], [0.667, 0.333, 0.404], [0.000, 0.000, 0.500], [0.333, 0.667, 0.595], [0.333, 0.667, 0.904], [0.000, 0.000, 0.000]], "total_magnetization_mub_per_fu": 0.00, "e_tot_ev_per_cell": -177.6, "density_g_cm3": 5.09, "crystal_system": "hexagonal"}

---

19.
{"formula": "Zr3Al3C5", "functional": "GGA-PBE", "state": "optimized geometry", "cell": [[3.307, 0.000, 0.000], [-1.653, 2.864, 0.000], [0.000, 0.000, 29.280]], "species": ["Al", "Al", "Al", "Al", "Al", "Al", "C", "C", "C", "C", "C", "C", "C", "C", "C", "C", "Zr", "Zr", "Zr", "Zr", "Zr", "Zr"], "frac_coords": [[0.667, 0.333, 0.179], [0.000, 0.000, 0.250], [0.667, 0.333, 0.321], [0.333, 0.667, 0.679], [0.000, 0.000, 0.750], [0.333, 0.667, 0.821], [0.333, 0.667, 0.048], [0.000, 0.000, 0.150], [0.333, 0.667, 0.250], [0.000, 0.000, 0.350], [0.333, 0.667, 0.452], [0.667, 0.333, 0.548], [0.000, 0.000, 0.650], [0.667, 0.333, 0.750], [0.000, 0.000, 0.850], [0.667, 0.333, 0.952], [0.000, 0.000, 0.000], [0.667, 0.333, 0.091], [0.667, 0.333, 0.409], [0.000, 0.000, 0.500], [0.333, 0.667, 0.591], [0.333, 0.667, 0.909]], "total_magnetization_mub_per_fu": 0.01, "e_tot_ev_per_cell": -170.0, "density_g_cm3": 4.97, "crystal_system": "hexagonal"}

---

20.
{"formula": "Al2Cd", "functional": "GGA-PBE", "state": "optimized geometry", "cell": [[5.641, 0.000, 0.000], [0.000, 5.641, 0.000], [0.000, 0.000, 4.591]], "species": ["Al", "Al", "Al", "Al", "Cd", "Cd"], "frac_coords": [[0.325, 0.325, 0.000], [0.675, 0.675, 0.000], [0.825, 0.175, 0.500], [0.175, 0.825, 0.500], [0.000, 0.000, 0.000], [0.500, 0.500, 0.500]], "e_tot_ev_per_cell": -13.4, "density_g_cm3": 3.78, "crystal_system": "tetragonal"}